Model 1:
The following is a DFT calculation (PBE) of a geometry-optimized HfV2Co2 structure.

Properties
Total magnetic moment = 0.0005 μB/atom

Geometry as CIF:
```
data_HfV2Co2
_space_group_name_H-M_alt 'P 4/m b m'
_space_group_IT_number 127
_space_group_name_Hall '-P 4 2ab'
_cell_length_a 7.006
_cell_length_b 7.006
_cell_length_c 2.811
_cell_angle_alpha 90.00
_cell_angle_beta 90.00
_cell_angle_gamma 90.00
loop_
_atom_site_label
_atom_site_type_symbol
_atom_site_fract_x
_atom_site_fract_y
_atom_site_fract_z
Hf1 Hf 0.000 0.000 0.000
V1 V 0.163 0.337 0.500
Co1 Co 0.127 0.627 0.000
```



Model 2:
The following is a DFT calculation (PBE) of a geometry-optimized HfV2Co2 structure.

Properties
Total magnetic moment = 0.0000 μB/atom

Geometry as CIF:
```
data_HfV2Co2
_space_group_name_H-M_alt 'I 4/m m m'
_space_group_IT_number 139
_space_group_name_Hall '-I 4 2'
_cell_length_a 3.918
_cell_length_b 3.918
_cell_length_c 9.486
_cell_angle_alpha 90.00
_cell_angle_beta 90.00
_cell_angle_gamma 90.00
loop_
_atom_site_label
_atom_site_type_symbol
_atom_site_fract_x
_atom_site_fract_y
_atom_site_fract_z
Hf1 Hf 0.000 0.000 0.000
V1 V 0.000 0.500 0.250
Co1 Co 0.000 0.000 0.380
```



Model 3:
The following is a DFT calculation (PBE) of a geometry-optimized HfV2Co2 structure.

Properties
Total magnetic moment = 0.0000 μB/atom

Geometry as CIF:
```
data_HfV2Co2
_space_group_name_H-M_alt 'I 4/m m m'
_space_group_IT_number 139
_space_group_name_Hall '-I 4 2'
_cell_length_a 3.858
_cell_length_b 3.858
_cell_length_c 9.859
_cell_angle_alpha 90.00
_cell_angle_beta 90.00
_cell_angle_gamma 90.00
loop_
_atom_site_label
_atom_site_type_symbol
_atom_site_fract_x
_atom_site_fract_y
_atom_site_fract_z
Hf1 Hf 0.000 0.000 0.000
V1 V 0.000 0.000 0.374
Co1 Co 0.000 0.500 0.250
```



Model 4:
The following is a DFT calculation (PBE) of a geometry-optimized HfV2Co2 structure.

Properties
Total magnetic moment = 0.0001 μB/atom

Geometry as CIF:
```
data_HfV2Co2
_space_group_name_H-M_alt 'P 4/m b m'
_space_group_IT_number 127
_space_group_name_Hall '-P 4 2ab'
_cell_length_a 7.173
_cell_length_b 7.173
_cell_length_c 2.657
_cell_angle_alpha 90.00
_cell_angle_beta 90.00
_cell_angle_gamma 90.00
loop_
_atom_site_label
_atom_site_type_symbol
_atom_site_fract_x
_atom_site_fract_y
_atom_site_fract_z
Hf1 Hf 0.000 0.000 0.000
V1 V 0.149 0.351 0.000
Co1 Co 0.144 0.644 0.500
```



The least stable of them is model 3.